The following is a PBE calculation of a geometry-optimized Al2ZnAg7Sn2 structure, from the Alexandria database.

Properties
Theoretical density ... 7.9 g/cm3
DFT formation energy ... 5.3 kJ per mole of atoms

Cell: 4.147 4.147 13.904 Å, 81.83 81.83 89.99°
Element x y z (fractional)
Al1 0.631 0.631 0.722
Al2 0.369 0.369 0.278
Zn1 0.000 0.000 0.000
Ag1 0.500 0.500 0.000
Ag2 0.267 0.267 0.467
Ag3 0.733 0.733 0.533
Ag4 0.930 0.430 0.148
Ag5 0.430 0.930 0.148
Ag6 0.570 0.070 0.852
Ag7 0.070 0.570 0.852
Sn1 0.846 0.846 0.327
Sn2 0.154 0.154 0.673

The following is a PBE calculation of a geometry-optimized Tm4Tl3Ru structure, from the Alexandria database.

Properties
Theoretical density ... 11.8 g/cm3
DFT formation energy ... -36.0 kJ per mole of atoms

Cell: 3.518 3.518 15.824 Å, 90.00 90.00 90.00°
Element x y z (fractional)
Ru1 0.500 0.500 0.000
Tl1 0.500 0.500 0.237
Tl2 0.500 0.500 0.500
Tl3 0.500 0.500 0.763
Tm1 0.000 0.000 0.899
Tm2 0.000 0.000 0.101
Tm3 0.000 0.000 0.367
Tm4 0.000 0.000 0.633

The following is a PBE calculation of a geometry-optimized MnTePb4 structure, from the Alexandria database.

Properties
Theoretical density ... 8.9 g/cm3
ΔE_f (raw) ... 466 meV per atom

Cell: 6.444 6.444 6.444 Å, 60.00 60.00 60.00°
Element x y z (fractional)
Mn1 0.000 0.000 0.000
Te1 0.750 0.750 0.750
Pb1 0.877 0.374 0.374
Pb2 0.374 0.374 0.877
Pb3 0.374 0.877 0.374
Pb4 0.374 0.374 0.374

The following is a PBE calculation of a geometry-optimized KU4Pt3S12 structure, from the Alexandria database.

Properties
Theoretical density ... 7.0 g/cm3
ΔE_f (raw) ... -927 meV per atom

Cell: 8.462 8.462 8.462 Å, 109.47 109.47 109.47°
Element x y z (fractional)
K1 0.000 0.000 0.000
U1 0.500 0.000 0.000
U2 0.500 0.500 0.500
U3 0.000 0.500 0.000
U4 0.000 0.000 0.500
Pt1 0.000 0.500 0.500
Pt2 0.500 0.500 0.000
Pt3 0.500 0.000 0.500
S1 0.320 0.839 0.159
S2 0.680 0.161 0.841
S3 0.680 0.839 0.519
S4 0.841 0.680 0.161
S5 0.839 0.159 0.320
S6 0.161 0.481 0.320
S7 0.481 0.320 0.161
S8 0.161 0.841 0.680
S9 0.320 0.161 0.481
S10 0.159 0.320 0.839
S11 0.839 0.519 0.680
S12 0.519 0.680 0.839